Density functional theory data (PBEsol) for an optimized crystal structure of Na3TaF8.

Summary:
For the magnetic moment, the calculation gives 0.00 μB per formula unit. For the uncorrected formation energy, the calculation gives -3.10 eV per atom.

a = 6.3652 Å, b = 6.3652 Å, c = 11.1457 Å
α = 117.84°, β = 117.84°, γ = 49.95°
Closest atoms and distances in Å follow each position.
Fractional coordinates of all 24 atoms:
Na 0.0000 0.5000 0.5000  6 F 2.23-2.43
Na 0.1077 0.6221 0.8981  7 F 2.28-2.55
Na 0.3779 0.8923 0.6019  7 F 2.28-2.55
Na 0.5000 0.0000 0.0000  6 F 2.23-2.43
Na 0.6221 0.1077 0.3981  7 F 2.28-2.55
Na 0.8923 0.3779 0.1019  7 F 2.28-2.55
Ta 0.3150 0.6850 0.2500  8 F 1.99-2.05
Ta 0.6850 0.3150 0.7500  8 F 1.99-2.05
F 0.0467 0.2657 0.8906  1 Ta 2.00, 1 Na 2.24
F 0.0647 0.8107 0.3606  1 Ta 1.99
F 0.1893 0.9353 0.1394  1 Ta 1.99
F 0.2657 0.0467 0.3906  1 Ta 2.00, 1 Na 2.24
F 0.3213 0.3445 0.7139  1 Ta 2.05
F 0.3445 0.3213 0.2139  1 Ta 2.05
F 0.4067 0.4779 0.5826  1 Ta 2.01, 1 Na 2.23
F 0.4779 0.4067 0.0826  1 Ta 2.01, 1 Na 2.23
F 0.5221 0.5933 0.9174  1 Ta 2.01, 1 Na 2.23
F 0.5933 0.5221 0.4174  1 Ta 2.01, 1 Na 2.23
F 0.6555 0.6787 0.7861  1 Ta 2.05
F 0.6787 0.6555 0.2861  1 Ta 2.05
F 0.7343 0.9533 0.6094  1 Ta 2.00, 1 Na 2.24
F 0.8107 0.0647 0.8606  1 Ta 1.99
F 0.9353 0.1893 0.6394  1 Ta 1.99
F 0.9533 0.7343 0.1094  1 Ta 2.00, 1 Na 2.24